4
Lattice="-1.9690 1.9690 5.7461 1.9690 -1.9690 5.7461 1.9690 1.9690 -5.7461" Properties=species:S:1:pos:R:3 comment="PBE SrIrCl2, relaxed" polymorph_energy_ev_per_atom=0.4049 energy_ry_per_atom=-0.28918 raw_formation_energy_ev_per_fu=-1.50 sg="I-4m2, No. 119" pbc="T T T"
Sr 0.0000 0.0000 0.0000
Ir 0.0000 1.9690 2.8731
Cl 1.9690 0.0000 2.8731
Cl 0.0000 0.0000 5.7461


6
Lattice="0.0000 4.2175 4.2175 4.2175 0.0000 4.2175 4.2175 4.2175 0.0000" Properties=species:S:1:pos:R:3 comment="PBE SrIrCl4, relaxed" energy_ry_per_atom=-0.19641 raw_formation_energy_ev_per_fu=1.90 sg="F-43m, No. 216" pbc="T T T"
Sr 0.0000 0.0000 0.0000
Ir 2.1087 2.1087 2.1087
Cl 5.2652 3.1697 3.1697
Cl 3.1697 5.2652 3.1697
Cl 3.1697 3.1697 5.2652
Cl 5.2652 5.2652 5.2652